A relaxed structure of PuSiP, computed with PBE-GGA.

It has space group Cmcm (No. 63), with a = 3.8185 Å, b = 14.7961 Å, c = 4.1672 Å, α = 90.00°, β = 90.00° and γ = 90.00°. The asymmetric unit holds Pu at (0.0000, 0.1312, 0.2500), Si at (0.0000, 0.4685, 0.2500) and P at (0.0000, 0.3215, 0.2500).

For the total magnetization, the calculation gives 5.14 μB per formula unit. The uncorrected formation energy is -679.4 meV per atom. As for the density of states at the Fermi level: 26.43 states/eV/cell. The calculation puts the final energy at -9.07 eV per atom.